Entry 1:
{
  "formula": "TlAg2As",
  "functional": "PBE",
  "state": "optimized geometry",
  "lattice": [[-0.276, 0.037, -5.222], [-2.645, -4.509, 0.108], [-8.479, 1.890, -2.156]],
  "species": ["Tl", "Tl", "As", "As", "Ag", "Ag", "Ag", "Ag"],
  "fractional_positions": [[0.000, 0.000, 0.000], [0.750, 0.250, 0.500], [0.500, 0.500, 0.000], [0.250, 0.750, 0.500], [0.508, 0.125, 0.250], [0.242, 0.625, 0.250], [0.375, 0.492, 0.750], [0.875, 0.758, 0.750]],
  "volume_a3_per_fu": 111,
  "formation_energy_mev_per_atom": 186,
  "space_group": "I-42d, No. 122"
}

Entry 2:
{
  "formula": "Tl2AgAs2",
  "functional": "PBE",
  "state": "optimized geometry",
  "lattice": [[-5.574, 2.112, -5.162], [-5.007, -5.110, 3.316], [-1.446, 3.309, 2.916]],
  "species": ["Tl", "Tl", "Tl", "Tl", "As", "As", "As", "As", "Ag", "Ag"],
  "fractional_positions": [[0.323, 0.823, 0.000], [0.823, 0.677, 0.000], [0.677, 0.177, 0.000], [0.177, 0.323, 0.000], [0.104, 0.604, 0.500], [0.604, 0.896, 0.500], [0.896, 0.396, 0.500], [0.396, 0.104, 0.500], [0.000, 0.000, 0.000], [0.500, 0.500, 0.000]],
  "volume_a3_per_fu": 144,
  "formation_energy_mev_per_atom": 282,
  "space_group": "P4/mbm, No. 127"
}

Entry 3:
{
  "formula": "Tl3AgAs",
  "functional": "PBE",
  "state": "optimized geometry",
  "lattice": [[-0.872, 3.738, -1.674], [-2.398, -2.959, -5.358], [-9.674, -0.836, 3.176]],
  "species": ["Tl", "Tl", "Tl", "Tl", "Tl", "Tl", "Ag", "Ag", "As", "As"],
  "fractional_positions": [[0.250, 0.769, 0.573], [0.250, 0.241, 0.701], [0.250, 0.757, 0.982], [0.750, 0.231, 0.427], [0.750, 0.243, 0.018], [0.750, 0.759, 0.299], [0.750, 0.535, 0.776], [0.250, 0.465, 0.224], [0.250, 0.070, 0.211], [0.750, 0.930, 0.789]],
  "volume_a3_per_fu": 139,
  "formation_energy_mev_per_atom": 83,
  "space_group": "P2_1/m, No. 11"
}

Entry 4:
{
  "formula": "TlAg2As",
  "functional": "PBE",
  "state": "optimized geometry",
  "lattice": [[-1.808, -1.895, 4.187], [0.549, -4.811, 0.972], [3.074, -1.461, 3.579]],
  "species": ["Tl", "As", "Ag", "Ag"],
  "fractional_positions": [[0.750, 0.750, 0.750], [0.500, 0.500, 0.500], [0.000, 0.000, 0.000], [0.250, 0.250, 0.250]],
  "volume_a3_per_fu": 85,
  "formation_energy_mev_per_atom": 273,
  "space_group": "F-43m, No. 216"
}

Copy entry 2 word for word.
{
  "formula": "Tl2AgAs2",
  "functional": "PBE",
  "state": "optimized geometry",
  "lattice": [[-5.574, 2.112, -5.162], [-5.007, -5.110, 3.316], [-1.446, 3.309, 2.916]],
  "species": ["Tl", "Tl", "Tl", "Tl", "As", "As", "As", "As", "Ag", "Ag"],
  "fractional_positions": [[0.323, 0.823, 0.000], [0.823, 0.677, 0.000], [0.677, 0.177, 0.000], [0.177, 0.323, 0.000], [0.104, 0.604, 0.500], [0.604, 0.896, 0.500], [0.896, 0.396, 0.500], [0.396, 0.104, 0.500], [0.000, 0.000, 0.000], [0.500, 0.500, 0.000]],
  "volume_a3_per_fu": 144,
  "formation_energy_mev_per_atom": 282,
  "space_group": "P4/mbm, No. 127"
}